A relaxed structure of La5PrSm2Ho, computed with GGA-PBE.

Total DFT energy (no corrections) in eV per cell: -82.03
DOS(E_F) in states/eV/f.u.: 16.1
Formation energy in meV/atom: 269

Lattice parameters (Å, degrees): 9.448 9.448 9.887 118.54 118.54 90.00
Fractional positions:
Sm: 0.610 0.110 0.000
La: 0.431 0.342 0.273
La: 0.842 0.931 0.273
Sm: 0.110 0.390 0.000
La: 0.569 0.658 0.727
La: 0.158 0.069 0.727
La: 0.342 0.842 0.273
Sm: 0.890 0.610 0.000
La: 0.000 0.000 0.000
La: 0.931 0.431 0.273
La: 0.500 0.500 0.000
La: 0.658 0.158 0.727
Pr: 0.750 0.750 0.500
Sm: 0.390 0.890 0.000
Pr: 0.250 0.250 0.500
Ho: 0.750 0.250 0.500
La: 0.069 0.569 0.727
Ho: 0.250 0.750 0.500